{"formula": "KLiP2O", "functional": "PBE", "state": "optimized geometry", "cell": [[4.465, 0.000, 0.000], [0.000, 4.465, 0.000], [0.000, 0.000, 4.452]], "species": ["P", "Li", "P", "K", "O"], "frac_coords": [[0.000, 0.500, 0.000], [0.000, 0.000, 0.000], [0.500, 0.000, 0.000], [0.500, 0.500, 0.500], [0.000, 0.000, 0.500]], "n_ef_per_ev_fu": 3.5, "magmom_total_mub_per_atom": 0.1054, "rho_g_cm3": 2.3, "raw_formation_energy_ev_per_atom": 0.38, "relative_energy_mev_per_atom": 0.0}

---

{"formula": "KLiPO2", "functional": "PBE", "state": "optimized geometry", "cell": [[4.201, 0.000, 0.000], [0.000, 4.201, 0.000], [0.000, 0.000, 4.267]], "species": ["O", "K", "O", "P", "Li"], "frac_coords": [[0.000, 0.500, 0.000], [0.500, 0.500, 0.500], [0.500, 0.000, 0.000], [0.000, 0.000, 0.500], [0.000, 0.000, 0.000]], "n_ef_per_ev_fu": 3.9, "magmom_total_mub_per_atom": 0.1998, "rho_g_cm3": 2.4, "raw_formation_energy_ev_per_atom": 0.16, "relative_energy_mev_per_atom": 0.0}

---

{"formula": "KLiSbP2O8", "functional": "PBE", "state": "optimized geometry", "cell": [[-2.137, 4.142, 1.784], [-0.572, -3.853, 7.898], [12.375, 4.572, -2.102]], "species": ["O", "P", "O", "Li", "O", "P", "O", "O", "O", "O", "O", "Li", "K", "P", "O", "O", "O", "O", "O", "Sb", "K", "P", "O", "O", "K", "P", "Sb", "O", "O", "Li", "O", "Sb", "O", "O", "O", "P", "O", "O", "O"], "frac_coords": [[0.045, 0.559, 0.726], [0.270, 0.270, 0.481], [0.342, 0.021, 0.951], [0.038, 0.741, 0.087], [0.956, 0.252, 0.467], [0.890, 0.594, 0.824], [0.974, 0.285, 0.052], [0.828, 0.886, 0.505], [0.402, 0.128, 0.503], [0.946, 0.464, 0.252], [0.046, 0.726, 0.929], [0.709, 0.044, 0.432], [0.176, 0.802, 0.351], [0.113, 0.423, 0.158], [0.335, 0.289, 0.375], [0.605, 0.660, 0.795], [0.255, 0.954, 0.139], [0.701, 0.052, 0.847], [0.402, 0.428, 0.584], [0.674, 0.351, 0.317], [0.475, 0.504, 0.980], [0.770, 0.725, 0.517], [0.254, 0.186, 0.829], [0.718, 0.122, 0.201], [0.869, 0.181, 0.661], [0.572, 0.949, 0.181], [0.327, 0.655, 0.667], [0.602, 0.600, 0.410], [0.155, 0.579, 0.135], [0.934, 0.256, 0.895], [0.614, 0.751, 0.613], [0.992, 0.001, 0.010], [0.847, 0.437, 0.844], [0.395, 0.364, 0.193], [0.244, 0.882, 0.745], [0.392, 0.040, 0.843], [0.043, 0.644, 0.539], [0.607, 0.915, 0.286], [0.691, 0.824, 0.091]], "n_ef_per_ev_fu": 0.4, "magmom_total_mub_per_atom": 0.0274, "rho_g_cm3": 3.3, "raw_formation_energy_ev_per_atom": -2.05}

---

{"formula": "K2LiTa6P3O24", "functional": "PBE", "state": "optimized geometry", "cell": [[-4.125, -6.011, -4.354], [7.889, -0.236, -3.099], [0.788, -3.251, 7.794]], "species": ["Li", "O", "O", "O", "O", "P", "O", "O", "O", "Ta", "O", "Ta", "O", "Ta", "O", "P", "Ta", "O", "O", "Ta", "K", "K", "Ta", "O", "O", "O", "O", "P", "O", "O", "O", "O", "O", "O", "O", "O"], "frac_coords": [[0.592, 0.594, 0.588], [0.449, 0.750, 0.634], [0.491, 0.022, 0.962], [0.846, 0.153, 0.002], [0.293, 0.873, 0.425], [0.499, 0.277, 0.723], [0.228, 0.554, 0.356], [0.136, 0.712, 0.591], [0.589, 0.139, 0.710], [0.351, 0.160, 0.033], [0.685, 0.791, 0.929], [0.970, 0.842, 0.651], [0.786, 0.925, 0.681], [0.843, 0.652, 0.973], [0.420, 0.294, 0.870], [0.724, 0.496, 0.276], [0.037, 0.354, 0.162], [0.968, 0.495, 0.024], [0.062, 0.202, 0.309], [0.161, 0.034, 0.353], [0.733, 0.105, 0.416], [0.281, 0.593, 0.902], [0.654, 0.973, 0.844], [0.354, 0.230, 0.552], [0.003, 0.844, 0.153], [0.710, 0.583, 0.134], [0.018, 0.963, 0.490], [0.275, 0.724, 0.501], [0.870, 0.417, 0.292], [0.754, 0.628, 0.451], [0.929, 0.688, 0.793], [0.555, 0.349, 0.232], [0.209, 0.316, 0.067], [0.150, 0.005, 0.844], [0.311, 0.064, 0.205], [0.629, 0.454, 0.752]], "n_ef_per_ev_fu": 0.0, "magmom_total_mub_per_atom": 0.0000, "rho_g_cm3": 5.0, "raw_formation_energy_ev_per_atom": -2.66}

---

{"formula": "KLiZnP2O7", "functional": "PBE", "state": "optimized geometry", "cell": [[-2.797, -2.741, -3.362], [4.332, -8.797, 3.568], [-9.204, -1.072, 8.532]], "species": ["P", "O", "O", "O", "O", "O", "O", "Li", "P", "O", "P", "K", "O", "O", "Zn", "O", "O", "O", "O", "K", "P", "O", "O", "Zn", "Zn", "K", "O", "O", "P", "O", "O", "O", "O", "O", "P", "O", "O", "O", "P", "Zn", "O", "Li", "P", "O", "Li", "O", "K", "Li"], "frac_coords": [[0.977, 0.720, 0.382], [0.581, 0.161, 0.127], [0.620, 0.932, 0.808], [0.819, 0.515, 0.873], [0.116, 0.815, 0.693], [0.562, 0.975, 0.000], [0.581, 0.161, 0.873], [0.966, 0.975, 0.249], [0.977, 0.720, 0.618], [0.380, 0.432, 0.808], [0.023, 0.220, 0.618], [0.481, 0.493, 0.500], [0.320, 0.233, 0.626], [0.884, 0.315, 0.307], [0.536, 0.272, 0.749], [0.181, 0.015, 0.127], [0.438, 0.475, 0.000], [0.419, 0.661, 0.873], [0.076, 0.584, 0.628], [0.519, 0.993, 0.500], [0.472, 0.024, 0.882], [0.181, 0.015, 0.873], [0.948, 0.275, 0.500], [0.536, 0.272, 0.251], [0.464, 0.772, 0.251], [0.999, 0.257, 0.000], [0.620, 0.932, 0.192], [0.924, 0.084, 0.372], [0.528, 0.524, 0.882], [0.320, 0.233, 0.374], [0.680, 0.733, 0.626], [0.052, 0.775, 0.500], [0.819, 0.515, 0.127], [0.884, 0.315, 0.693], [0.023, 0.220, 0.382], [0.924, 0.084, 0.628], [0.680, 0.733, 0.374], [0.116, 0.815, 0.307], [0.528, 0.524, 0.118], [0.464, 0.772, 0.749], [0.076, 0.584, 0.372], [0.034, 0.475, 0.249], [0.472, 0.024, 0.118], [0.419, 0.661, 0.127], [0.034, 0.475, 0.751], [0.380, 0.432, 0.192], [0.001, 0.757, 0.000], [0.966, 0.975, 0.751]], "n_ef_per_ev_fu": 0.0, "magmom_total_mub_per_atom": 0.0000, "rho_g_cm3": 2.8, "raw_formation_energy_ev_per_atom": -2.21}

---

{"formula": "K2Li2PaO6", "functional": "PBE", "state": "optimized geometry", "cell": [[-1.626, 1.665, -5.021], [-3.668, -0.319, 4.132], [1.230, 5.859, 1.545]], "species": ["Li", "O", "K", "O", "Pa", "O", "O", "K", "Li", "O", "O"], "frac_coords": [[0.333, 0.667, 0.000], [0.000, 0.316, 0.819], [0.333, 0.667, 0.500], [0.000, 0.684, 0.181], [0.000, 0.000, 0.000], [0.316, 0.316, 0.181], [0.316, 0.000, 0.819], [0.667, 0.333, 0.500], [0.667, 0.333, 0.000], [0.684, 0.000, 0.181], [0.684, 0.684, 0.819]], "n_ef_per_ev_fu": 3.8, "magmom_total_mub_per_atom": 0.2578, "rho_g_cm3": 4.2, "raw_formation_energy_ev_per_atom": -1.92}

---

{"formula": "KLi2Pa2O7", "functional": "PBE", "state": "optimized geometry", "cell": [[-3.505, 2.569, -0.364], [-2.355, -3.406, -1.369], [0.633, -1.483, 9.565]], "species": ["Li", "Li", "Pa", "O", "O", "O", "Pa", "O", "O", "O", "K", "O"], "frac_coords": [[0.750, 0.251, 0.500], [0.250, 0.749, 0.500], [0.619, 0.619, 0.238], [0.270, 0.270, 0.539], [0.381, 0.881, 0.762], [0.500, 0.500, 0.000], [0.381, 0.381, 0.762], [0.119, 0.619, 0.238], [0.881, 0.381, 0.762], [0.619, 0.119, 0.238], [0.000, 0.000, 0.000], [0.730, 0.730, 0.461]], "n_ef_per_ev_fu": 7.1, "magmom_total_mub_per_atom": 0.0000, "rho_g_cm3": 6.0, "raw_formation_energy_ev_per_atom": -2.79}

---

{"formula": "K3LiPa3O8", "functional": "PBE", "state": "optimized geometry", "cell": [[-1.039, 2.106, 6.625], [5.970, -3.267, -1.754], [-0.995, 7.022, -2.388]], "species": ["O", "O", "K", "K", "K", "O", "O", "O", "O", "Pa", "Li", "O", "O", "Pa", "Pa"], "frac_coords": [[0.233, 0.940, 0.673], [0.268, 0.535, 0.303], [0.000, 0.000, 0.000], [0.500, 0.500, 0.000], [0.000, 0.500, 0.000], [0.293, 0.060, 0.327], [0.707, 0.940, 0.673], [0.767, 0.060, 0.327], [0.767, 0.534, 0.327], [0.000, 0.500, 0.500], [0.000, 0.000, 0.500], [0.233, 0.466, 0.673], [0.732, 0.465, 0.697], [0.500, 0.500, 0.500], [0.500, 0.000, 0.500]], "n_ef_per_ev_fu": 8.1, "magmom_total_mub_per_atom": 0.2022, "rho_g_cm3": 5.8, "raw_formation_energy_ev_per_atom": -2.62}

---

{"formula": "KLi2PaO4", "functional": "PBE", "state": "optimized geometry", "cell": [[5.674, 0.001, 0.001], [2.838, 4.545, 0.330], [2.838, 0.701, 4.503]], "species": ["O", "K", "Li", "O", "Li", "O", "Pa", "O"], "frac_coords": [[0.539, 0.461, 0.882], [0.000, 0.000, 0.000], [0.250, 0.250, 0.250], [0.118, 0.882, 0.461], [0.750, 0.750, 0.750], [0.882, 0.539, 0.118], [0.500, 0.500, 0.500], [0.461, 0.118, 0.539]], "n_ef_per_ev_fu": 0.0, "magmom_total_mub_per_atom": 0.0000, "rho_g_cm3": 5.0, "raw_formation_energy_ev_per_atom": -2.44}

---

{"formula": "K4LiPb3O8", "functional": "PBE", "state": "optimized geometry", "cell": [[-1.468, 1.442, 6.627], [-3.640, -6.393, 0.585], [6.603, -0.187, -2.130]], "species": ["K", "Li", "Pb", "O", "O", "Pb", "O", "O", "O", "O", "K", "O", "Pb", "K", "K", "O"], "frac_coords": [[0.500, 0.000, 0.500], [0.000, 0.500, 0.000], [0.000, 0.500, 0.500], [0.236, 0.687, 0.951], [0.714, 0.687, 0.951], [0.500, 0.500, 0.000], [0.734, 0.703, 0.468], [0.286, 0.313, 0.049], [0.266, 0.297, 0.532], [0.764, 0.313, 0.049], [0.500, 0.000, 0.000], [0.764, 0.313, 0.527], [0.500, 0.500, 0.500], [0.000, 0.000, 0.000], [0.000, 0.000, 0.500], [0.236, 0.687, 0.473]], "n_ef_per_ev_fu": 2.0, "magmom_total_mub_per_atom": 0.0000, "rho_g_cm3": 5.9, "raw_formation_energy_ev_per_atom": -1.25}

---

{"formula": "K3LiPb3O8", "functional": "PBE", "state": "optimized geometry", "cell": [[-2.671, 4.902, -3.742], [-1.132, -6.433, -1.585], [-3.460, 2.657, 5.950]], "species": ["O", "Li", "Pb", "Pb", "K", "O", "O", "O", "O", "K", "O", "O", "Pb", "O", "K"], "frac_coords": [[0.230, 0.947, 0.677], [0.000, 0.000, 0.500], [0.000, 0.500, 0.500], [0.500, 0.000, 0.500], [0.000, 0.500, 0.000], [0.265, 0.531, 0.296], [0.735, 0.469, 0.704], [0.769, 0.539, 0.323], [0.284, 0.053, 0.323], [0.500, 0.500, 0.000], [0.231, 0.461, 0.677], [0.770, 0.053, 0.323], [0.500, 0.500, 0.500], [0.716, 0.947, 0.677], [0.000, 0.000, 0.000]], "magmom_total_mub_per_atom": 0.0000, "rho_g_cm3": 5.9, "raw_formation_energy_ev_per_atom": -1.22}

---

{"formula": "K2Li2PbO4", "functional": "PBE", "state": "optimized geometry", "cell": [[-3.186, -0.316, 1.247], [1.388, -5.928, 2.041], [2.890, 4.331, 3.749]], "species": ["O", "Pb", "O", "O", "K", "Li", "Li", "O", "K"], "frac_coords": [[0.519, 0.779, 0.037], [0.000, 0.000, 0.000], [0.481, 0.221, 0.963], [0.192, 0.143, 0.384], [0.861, 0.442, 0.723], [0.682, 0.990, 0.364], [0.318, 0.010, 0.636], [0.808, 0.857, 0.616], [0.139, 0.558, 0.277]], "n_ef_per_ev_fu": 0.0, "magmom_total_mub_per_atom": 0.0000, "rho_g_cm3": 4.7, "raw_formation_energy_ev_per_atom": -1.44}